Compound: VPO5
Source: Alexandria via LeMat-Bulk
Functional: PBE+U
Structure: relaxed

a = 7.381 Å, b = 7.381 Å, c = 10.332 Å
α = 67.55°, β = 67.55°, γ = 41.20°
Positions (direct):
V  0.953  0.047  0.250
V  0.000  0.500  0.000
V  0.500  0.000  0.500
V  0.047  0.953  0.750
P  0.413  0.334  0.699
P  0.587  0.666  0.301
P  0.666  0.587  0.801
P  0.334  0.413  0.199
O  0.728  0.152  0.677
O  0.745  0.357  0.343
O  0.956  0.794  0.905
O  0.740  0.636  0.895
O  0.695  0.717  0.143
O  0.717  0.695  0.643
O  0.636  0.740  0.395
O  0.794  0.956  0.405
O  0.255  0.643  0.657
O  0.848  0.272  0.823
O  0.272  0.848  0.323
O  0.643  0.255  0.157
O  0.206  0.044  0.595
O  0.364  0.260  0.605
O  0.152  0.728  0.177
O  0.305  0.283  0.857
O  0.260  0.364  0.105
O  0.044  0.206  0.095
O  0.357  0.745  0.843
O  0.283  0.305  0.357

Calculated values
For the density, the calculation gives 3177 kg/m3. The crystal system is monoclinic. Its space group is C2/c (15). The calculation puts the energy above the most stable polymorph in this dataset at 0.055 eV per atom. The value obtained for the volume is 338.5 Å³/cell. The calculation puts the total magnetization at 0.0 μB per cell.